Record 1
Material: CdTeIr2
Method: DFT, PBEsol
State: optimized geometry

Results
As for the space group: Pmm2. As for the energy above the lowest structure with this stoichiometry: 0.000 eV/atom.

Cell: 3.0390 4.7601 4.8684 Å, 90.00 90.00 90.00°
Closest atoms and distances in Å follow each position.
Fractional positions:
Cd: 0.0000 0.0000 0.0000  6 Ir 2.79-2.95, 2 Cd 3.04, 4 Te 3.09
Te: 0.5000 0.5000 0.2560  4 Ir 2.61-2.70
Ir: 0.0000 0.5000 0.6924  2 Te 2.61, 2 Cd 2.81
Ir: 0.5000 0.0000 0.5189  2 Te 2.70, 4 Cd 2.79-2.95, 4 Ir 2.95



Record 2
Material: CdTeIr2
Method: DFT, PBEsol
State: optimized geometry

Results
As for the space group: Fm-3m. As for the energy above the lowest structure with this stoichiometry: 0.071 eV/atom.

Cell: 4.5938 4.5938 4.5938 Å, 60.00 60.00 60.00°
Closest atoms and distances in Å follow each position.
Fractional positions:
Cd: 0.0000 0.0000 0.0000  8 Ir 2.81
Te: 0.5000 0.5000 0.5000  8 Ir 2.81
Ir: 0.2500 0.2500 0.2500  4 Cd 2.81, 4 Te 2.81
Ir: 0.7500 0.7500 0.7500  4 Cd 2.81, 4 Te 2.81



Record 3
Material: Cd2TeIr
Method: DFT, PBEsol
State: optimized geometry

Results
As for the space group: R-3m.

Cell: 10.7917 10.7917 10.7917 Å, 15.96 15.96 15.96°
Closest atoms and distances in Å follow each position.
Fractional positions:
Cd: 0.2353 0.2353 0.2353  3 Ir 2.79, 6 Cd 3.00
Cd: 0.7647 0.7647 0.7647  3 Ir 2.79, 6 Cd 3.00
Te: 0.0000 0.0000 0.0000  6 Te 3.00
Ir: 0.5000 0.5000 0.5000  6 Cd 2.79, 6 Ir 3.00



| no. | final energy (eV for the cell shown) | raw formation energy (meV/atom) |
| --- | --- | --- |
| 1 | -22.94 | 359 |
| 2 | -22.65 | 429 |
| 3 | -14.43 | 328 |